Material: CsNdCoO3
Method: DFT, PBE+U
State: optimized geometry

Values from the calculation:
Calculated density   5.52 Mg/m³
Raw total energy   -0.2304 hartree per atom

Cell lengths 6.9104, 6.9104, 9.5015 Å; angles 90.00, 90.00, 149.40 degrees
Last column: nearest neighbours and their distance in Å.
Element x y z (fractional)
Co1 0.4582 0.5418 0.2500  4 O 1.93-2.10
Co2 0.5418 0.4582 0.7500  4 O 1.93-2.10
Cs1 0.7323 0.2677 0.2500  8 O 3.19-3.46, 2 Co 3.52
Cs2 0.2677 0.7323 0.7500  8 O 3.19-3.46, 2 Co 3.52
Nd1 0.0000 0.0000 0.0000  6 O 2.39-2.42
Nd2 0.0000 0.0000 0.5000  6 O 2.39-2.42
O1 0.3951 0.6049 0.0675  1 Co 1.93
O2 0.0364 0.9636 0.2500  2 Co 2.10
O3 0.3951 0.6049 0.4325  1 Co 1.93
O4 0.6049 0.3951 0.5675  1 Co 1.93
O5 0.9636 0.0364 0.7500  2 Co 2.10
O6 0.6049 0.3951 0.9325  1 Co 1.93